1.
The following is a GGA-PBE calculation of CaAc2Tl after structural relaxation, from the Alexandria database.

a = 3.864 Å, b = 3.864 Å, c = 13.528 Å
α = 81.79°, β = 81.79°, γ = 60.00°
Atoms (fractional coordinates):
Tl 0.000 0.000 0.000
Ac 0.913 0.913 0.260
Ac 0.087 0.087 0.740
Ca 0.500 0.500 0.500

## Properties
Crystal system ... trigonal

---

2.
The following is a GGA-PBE calculation of Li3Cd3Au after structural relaxation, from the Alexandria database.

a = 8.144 Å, b = 8.144 Å, c = 8.144 Å
α = 90.00°, β = 90.00°, γ = 90.00°
Atoms (fractional coordinates):
Li 0.528 0.183 0.141
Li 0.817 0.641 0.972
Li 0.972 0.817 0.641
Cd 0.667 0.333 0.833
Cd 0.333 0.833 0.667
Li 0.359 0.472 0.683
Li 0.641 0.972 0.817
Cd 0.833 0.667 0.333
Cd 0.167 0.167 0.167
Cd 0.958 0.958 0.958
Cd 0.341 0.159 0.841
Li 0.859 0.028 0.317
Li 0.683 0.359 0.472
Cd 0.042 0.458 0.542
Cd 0.659 0.659 0.659
Li 0.472 0.683 0.359
Au 0.132 0.632 0.868
Cd 0.458 0.542 0.042
Cd 0.841 0.341 0.159
Li 0.317 0.859 0.028
Li 0.141 0.528 0.183
Li 0.183 0.141 0.528
Cd 0.542 0.042 0.458
Au 0.868 0.132 0.632
Au 0.632 0.868 0.132
Cd 0.159 0.841 0.341
Li 0.028 0.317 0.859
Au 0.368 0.368 0.368

## Properties
Crystal system ... cubic

---

3.
The following is a GGA-PBE calculation of Zn2NiSb after structural relaxation, from the Alexandria database.

a = 4.365 Å, b = 4.365 Å, c = 5.853 Å
α = 95.39°, β = 95.39°, γ = 43.52°
Atoms (fractional coordinates):
Sb 0.164 0.164 0.337
Zn 0.782 0.782 0.721
Zn 0.075 0.075 0.885
Ni 0.478 0.478 0.557

## Properties
Crystal system ... monoclinic
Formation energy (no corrections) ... 0.0 eV/f.u.

---

4.
The following is a GGA-PBE calculation of AlCoPCl2 after structural relaxation, from the Alexandria database.

a = 4.887 Å, b = 4.887 Å, c = 4.253 Å
α = 90.00°, β = 90.00°, γ = 90.00°
Atoms (fractional coordinates):
Co 0.000 0.000 0.000
P 0.000 0.000 0.500
Cl 0.500 0.000 0.000
Cl 0.000 0.500 0.000
Al 0.500 0.500 0.500

## Properties
Crystal system ... tetragonal
Formation energy (no corrections) ... 0.7 eV/f.u.

---

5.
The following is a GGA-PBE calculation of Mg2BrO after structural relaxation, from the Alexandria database.

a = 4.551 Å, b = 4.551 Å, c = 4.551 Å
α = 60.00°, β = 60.00°, γ = 60.00°
Atoms (fractional coordinates):
Mg 0.750 0.750 0.750
Mg 0.250 0.250 0.250
Br 0.500 0.500 0.500
O 0.000 0.000 0.000

## Properties
Crystal system ... cubic
Formation energy (no corrections) ... -2.3 eV/f.u.

---

6.
The following is a GGA-PBE calculation of ThCuTe after structural relaxation, from the Alexandria database.

a = 4.102 Å, b = 4.544 Å, c = 10.104 Å
α = 90.00°, β = 101.71°, γ = 90.00°
Atoms (fractional coordinates):
Cu 0.458 0.750 0.917
Te 0.170 0.250 0.341
Th 0.931 0.250 0.862
Cu 0.542 0.250 0.083
Te 0.830 0.750 0.659
Th 0.069 0.750 0.138

## Properties
Crystal system ... orthorhombic
Formation energy (no corrections) ... -0.9 eV/f.u.

---

7.
The following is a GGA-PBE calculation of ZrNi2Te after structural relaxation, from the Alexandria database.

a = 3.344 Å, b = 3.344 Å, c = 6.061 Å
α = 90.00°, β = 90.00°, γ = 89.97°
Atoms (fractional coordinates):
Ni 0.000 0.000 0.025
Te 0.000 0.000 0.450
Ni 0.500 0.500 0.230
Zr 0.500 0.500 0.795

## Properties
Crystal system ... tetragonal
Formation energy (no corrections) ... -0.7 eV/f.u.

---

8.
The following is a GGA-PBE calculation of CdRe2Te after structural relaxation, from the Alexandria database.

a = 10.764 Å, b = 10.764 Å, c = 10.764 Å
α = 15.69°, β = 15.69°, γ = 15.69°
Atoms (fractional coordinates):
Cd 0.736 0.736 0.736
Te 0.515 0.515 0.515
Re 0.260 0.260 0.260
Re 0.990 0.990 0.990

## Properties
Crystal system ... trigonal
Formation energy (no corrections) ... 1.9 eV/f.u.

---

9.
The following is a GGA-PBE calculation of GdHo2Tl after structural relaxation, from the Alexandria database.

a = 4.809 Å, b = 4.864 Å, c = 4.864 Å
α = 90.00°, β = 90.00°, γ = 90.00°
Atoms (fractional coordinates):
Gd 0.500 0.000 0.000
Ho 0.000 0.500 0.000
Tl 0.500 0.500 0.500
Ho 0.000 0.000 0.500

## Properties
Crystal system ... tetragonal

---

10.
The following is a GGA-PBE calculation of TbDyMgSc after structural relaxation, from the Alexandria database.

a = 5.381 Å, b = 5.381 Å, c = 5.381 Å
α = 60.00°, β = 60.00°, γ = 60.00°
Atoms (fractional coordinates):
Dy 0.250 0.250 0.250
Sc 0.000 0.000 0.000
Mg 0.500 0.500 0.500
Tb 0.750 0.750 0.750

## Properties
Crystal system ... cubic

---

11.
The following is a GGA-PBE calculation of LiGa6Ag5 after structural relaxation, from the Alexandria database.

a = 5.198 Å, b = 5.180 Å, c = 9.676 Å
α = 79.29°, β = 68.26°, γ = 59.88°
Atoms (fractional coordinates):
Li 0.000 0.000 0.000
Ga 0.494 0.000 0.751
Ag 0.000 0.000 0.500
Ag 0.334 0.333 0.000
Ga 0.165 0.671 0.247
Ga 0.164 0.671 0.753
Ag 0.666 0.667 0.000
Ga 0.835 0.329 0.753
Ag 0.670 0.660 0.500
Ga 0.836 0.329 0.247
Ga 0.506 0.000 0.249
Ag 0.330 0.340 0.500

## Properties
Crystal system ... monoclinic

---

12.
The following is a GGA-PBE calculation of Zr3OsPb after structural relaxation, from the Alexandria database.

a = 5.081 Å, b = 5.081 Å, c = 5.081 Å
α = 90.00°, β = 90.00°, γ = 90.00°
Atoms (fractional coordinates):
Pb 0.500 0.500 0.500
Os 0.000 0.000 0.000
Zr 0.000 0.500 0.000
Zr 0.000 0.000 0.500
Zr 0.500 0.000 0.000

## Properties
Crystal system ... cubic

---

no.,DFT total energy (eV/atom)
1,-2.9972
2,-1.9275
3,-3.1163
4,-3.8534
5,-3.0271
6,-5.1826
7,-5.9759
8,-6.7672
9,-6.5949
10,-4.2650
11,-2.9152
12,-7.9272